Computed, not measured: a relaxed Li2NbNi8 crystal at the PBE level of DFT.

a b c (Å): 5.944 5.944 3.832
angles (deg): 90.00 90.00 104.31
Fractional coordinates of all 11 atoms:
Li (0.116, 0.884, 0.000)
Li (0.884, 0.116, 0.000)
Nb (0.500, 0.500, 0.500)
Ni (0.166, 0.166, 0.500)
Ni (0.190, 0.462, 0.000)
Ni (0.236, 0.764, 0.500)
Ni (0.462, 0.190, 0.000)
Ni (0.538, 0.810, 0.000)
Ni (0.764, 0.236, 0.500)
Ni (0.810, 0.538, 0.000)
Ni (0.834, 0.834, 0.500)

Results
* electronic total energy: -5.341 eV/atom
* SG: Cmmm, No. 65
* energy relative to the elements: 126.9 meV/atom



Computed, not measured: a relaxed TeAuN2 crystal at the PBE level of DFT.

a b c (Å): 5.110 5.110 10.273
angles (deg): 90.00 90.00 90.00
Fractional coordinates of all 16 atoms:
Te (0.000, 0.000, 0.000)
Te (0.000, 0.500, 0.250)
Te (0.500, 0.000, 0.750)
Te (0.500, 0.500, 0.500)
Au (0.000, 0.000, 0.500)
Au (0.000, 0.500, 0.750)
Au (0.500, 0.000, 0.250)
Au (0.500, 0.500, 0.000)
N (0.208, 0.250, 0.125)
N (0.250, 0.708, 0.375)
N (0.250, 0.792, 0.875)
N (0.292, 0.250, 0.625)
N (0.708, 0.750, 0.625)
N (0.750, 0.208, 0.875)
N (0.750, 0.292, 0.375)
N (0.792, 0.750, 0.125)

Results
* electronic total energy: -4.490 eV/atom
* formation energy from raw total energies: 1278 meV/atom
* SG: I-42d, No. 122